First-principles (PBEsol) data for a relaxed HfWIN2 crystal, as listed in Alexandria.

## Properties
* magnetic moment: 0.0 μB per formula unit
* ΔE_f (raw): 0.74 eV per atom
* DFT total energy: -7.889 eV/atom
* D(E_F): 0.69 states/eV/atom

Cell lengths 3.9882, 3.9882, 5.3291 Å; angles 90.00, 90.00, 90.00 degrees
Space group P4/mmm (No. 123)
Inequivalent atoms, fractional coordinates:
Hf  0.0000  0.0000  0.0000 x1
W  0.5000  0.5000  0.5000 x1
I  0.5000  0.5000  0.0000 x1
N  0.0000  0.5000  0.5000 x2